1.
Material: Na4Tb3PuO8
Method: DFT, PBE
State: optimized geometry

Computed properties:
Calculated total energy in eV per atom: -7.237
Crystal system: trigonal
DOS(E_F) in states/eV per cell: 5.3

a b c (Å): 6.8870 6.8870 6.8870
angles (deg): 60.49 60.49 60.49
Fractional positions:
Na (0.0000, 0.0000, 0.0000)
Na (0.0000, 0.5000, 0.5000)
Na (0.5000, 0.0000, 0.5000)
Na (0.5000, 0.5000, 0.0000)
Tb (0.0000, 0.0000, 0.5000)
Tb (0.0000, 0.5000, 0.0000)
Tb (0.5000, 0.0000, 0.0000)
Pu (0.5000, 0.5000, 0.5000)
O (0.2343, 0.7396, 0.7396)
O (0.2372, 0.2372, 0.2372)
O (0.2604, 0.2604, 0.7657)
O (0.2604, 0.7657, 0.2604)
O (0.7396, 0.2343, 0.7396)
O (0.7396, 0.7396, 0.2343)
O (0.7628, 0.7628, 0.7628)
O (0.7657, 0.2604, 0.2604)



2.
Material: Ac5Cd2Ge2
Method: DFT, PBE
State: optimized geometry

Computed properties:
Calculated total energy in eV per atom: -3.958
Formation energy from the elements in meV per atom: -446
Crystal system: orthorhombic
DOS(E_F) in states/eV per cell: 16.9

a b c (Å): 9.6406 9.6406 8.5487
angles (deg): 90.00 90.00 51.93
Fractional positions:
Ac (0.0000, 0.0000, 0.0000)
Ac (0.0199, 0.6769, 0.6655)
Ac (0.1769, 0.5199, 0.1655)
Ac (0.3231, 0.9801, 0.6655)
Ac (0.4801, 0.8231, 0.1655)
Ac (0.5000, 0.5000, 0.5000)
Ac (0.5199, 0.1769, 0.8345)
Ac (0.6769, 0.0199, 0.3345)
Ac (0.8231, 0.4801, 0.8345)
Ac (0.9801, 0.3231, 0.3345)
Cd (0.1211, 0.8789, 0.3778)
Cd (0.3789, 0.6211, 0.8778)
Cd (0.6211, 0.3789, 0.1222)
Cd (0.8789, 0.1211, 0.6222)
Ge (0.1981, 0.1981, 0.0000)
Ge (0.3019, 0.3019, 0.5000)
Ge (0.6981, 0.6981, 0.5000)
Ge (0.8019, 0.8019, 0.0000)



3.
Material: Ce2ThFeAu
Method: DFT, PBE
State: optimized geometry

Computed properties:
Calculated total energy in eV per atom: -6.360
Formation energy from the elements in meV per atom: -154
Crystal system: tetragonal
DOS(E_F) in states/eV per cell: 9.6

a b c (Å): 4.8319 4.8319 5.5066
angles (deg): 90.00 90.00 90.00
Fractional positions:
Ce (0.0000, 0.5000, 0.0462)
Ce (0.5000, 0.0000, 0.9538)
Th (0.0000, 0.0000, 0.5000)
Fe (0.0000, 0.0000, 0.0000)
Au (0.5000, 0.5000, 0.5000)